Record 1
Tm8CdIn2: relaxed, GGA-PBE.

a = 5.081 Å, b = 7.149 Å, c = 9.064 Å
α = 101.36°, β = 106.28°, γ = 90.00°
Sites, in units of the cell vectors:
Tm  0.407  0.548  0.814
Tm  0.666  0.934  0.332
Tm  0.825  0.746  0.650
Tm  0.969  0.251  0.937
Tm  0.175  0.254  0.350
Tm  0.334  0.066  0.668
Tm  0.593  0.452  0.186
Tm  0.031  0.749  0.063
Cd  0.500  0.000  0.000
In  0.791  0.302  0.582
In  0.209  0.698  0.418

Results
* size of the total moment: 0.0 μB per formula unit
* calculated formation energy: -0.174 eV/atom
* ΔE to the lowest computed polymorph: 0.0 kJ/mol of atoms
* symmetry: C2/m, No. 12
* N(E_F): 12.03 states/eV/f.u.
* V: 309.3 Å³/cell

Record 2
Tm2Cd3In3: relaxed, GGA-PBE.

a = 4.498 Å, b = 4.552 Å, c = 9.266 Å
α = 90.00°, β = 90.00°, γ = 90.00°
Sites, in units of the cell vectors:
Tm  0.000  0.000  0.753
Tm  0.000  0.000  0.247
Cd  0.500  0.000  0.500
Cd  0.000  0.500  0.000
Cd  0.000  0.500  0.500
In  0.500  0.500  0.745
In  0.500  0.500  0.255
In  0.500  0.000  0.000

Results
* size of the total moment: 0.0 μB per formula unit
* calculated formation energy: -0.320 eV/atom
* symmetry: Pmmm, No. 47
* N(E_F): 3.33 states/eV/f.u.
* V: 189.7 Å³/cell

Record 3
TmCd23In6: relaxed, GGA-PBE.

a = 10.123 Å, b = 10.123 Å, c = 10.123 Å
α = 60.00°, β = 60.00°, γ = 60.00°
Sites, in units of the cell vectors:
Tm  0.500  0.500  0.500
Cd  0.621  0.126  0.126
Cd  0.379  0.874  0.874
Cd  0.126  0.126  0.621
Cd  0.126  0.126  0.126
Cd  0.874  0.874  0.379
Cd  0.874  0.874  0.874
Cd  0.126  0.621  0.126
Cd  0.874  0.379  0.874
Cd  0.500  0.500  0.000
Cd  0.000  0.000  0.500
Cd  0.500  0.000  0.000
Cd  0.000  0.500  0.500
Cd  0.500  0.000  0.500
Cd  0.000  0.500  0.000
Cd  0.937  0.354  0.354
Cd  0.063  0.646  0.646
Cd  0.354  0.354  0.937
Cd  0.354  0.354  0.354
Cd  0.646  0.646  0.063
Cd  0.646  0.646  0.646
Cd  0.354  0.937  0.354
Cd  0.646  0.063  0.646
Cd  0.000  0.000  0.000
In  0.731  0.731  0.269
In  0.269  0.269  0.731
In  0.731  0.269  0.269
In  0.269  0.731  0.731
In  0.731  0.269  0.731
In  0.269  0.731  0.269

Results
* size of the total moment: 0.0 μB per formula unit
* calculated formation energy: 0.017 eV/atom
* symmetry: Fm-3m, No. 225
* N(E_F): 9.04 states/eV/f.u.
* V: 733.5 Å³/cell

Question: Among the records above, which one has the highest N(E_F)?
Answer: Tm8CdIn2

Question: Number 2 is which compound?
Answer: Tm2Cd3In3

Question: What is the V in the second record?
Answer: 189.7 Å³/cell

Question: Number 1 is which compound?
Answer: Tm8CdIn2